This record from Alexandria describes a geometry-optimized MgRuPt2 structure. The functional is PBE.

The structure in POSCAR format:
```
MgRuPt2
1.0
4.802 -0.002 -0.002
3.996 2.663 -0.002
0.763 0.231 4.796
Mg Pt Ru
1 2 1
Direct
0.250 0.250 0.250
0.003 0.003 0.994
0.497 0.497 0.506
0.750 0.750 0.750
```

## Properties
- uncorrected energy (eV per atom) = -5.958
- total moment (μB/f.u.) = 0.21